Record 1
Computed, not measured: a geometry-optimized CeHoTm6 structure at the PBE level of DFT.

Results
- Spin magnetization: 1.70 μB/f.u.
- Energy: -35.5 eV/cell
- Volume: 30.81 Å³ per atom
- E_form: 0.23 eV/atom
- Energy above the most stable polymorph in this dataset: 1.47 eV/f.u.

Unit cell a=6.682 b=6.406 c=6.870 alpha=76.85 beta=60.16 gamma=89.47
Element x y z (fractional)
Ce (0.000, 0.500, 0.000)
Ho (0.000, 0.000, 0.000)
Tm (0.093, 0.767, 0.480)
Tm (0.574, 0.730, 0.522)
Tm (0.426, 0.270, 0.478)
Tm (0.907, 0.233, 0.520)
Tm (0.550, 0.749, 0.001)
Tm (0.450, 0.251, 0.999)


Record 2
Computed, not measured: a geometry-optimized Nd6NiBr12 structure at the PBE level of DFT.

Results
- Spin magnetization: 0.00 μB/f.u.
- Energy: -82.1 eV/cell
- Volume: 31.03 Å³ per atom
- E_form (uncorrected): -1.45 eV per atom

Unit cell a=8.632 b=8.632 c=8.632 alpha=75.34 beta=75.34 gamma=75.34
Element x y z (fractional)
Nd (0.227, 0.807, 0.227)
Nd (0.193, 0.773, 0.773)
Nd (0.773, 0.773, 0.193)
Nd (0.773, 0.193, 0.773)
Nd (0.807, 0.227, 0.227)
Nd (0.227, 0.227, 0.807)
Ni (0.000, 0.000, 0.000)
Br (0.552, 0.173, 0.552)
Br (0.173, 0.552, 0.552)
Br (0.552, 0.552, 0.173)
Br (0.448, 0.827, 0.448)
Br (0.827, 0.448, 0.448)
Br (0.448, 0.448, 0.827)
Br (0.572, 0.106, 0.106)
Br (0.894, 0.428, 0.894)
Br (0.894, 0.894, 0.428)
Br (0.428, 0.894, 0.894)
Br (0.106, 0.572, 0.106)
Br (0.106, 0.106, 0.572)


Number 1: DOS(E_F) 2.050 states/eV/atom. Number 2: DOS(E_F) 0.456 states/eV/atom.